DFT (PBE with a Hubbard U) results for Ca3BeCr3O8 after structural relaxation.

Output
E_tot in eV/atom: -7.009
ρ in g/cm³: 3.941

CIF file:
```
data_Ca3BeCr3O8
_cell_length_a 10.925
_cell_length_b 6.070
_cell_length_c 6.310
_cell_angle_alpha 90.00
_cell_angle_beta 123.66
_cell_angle_gamma 90.00
_symmetry_space_group_name_H-M 'C 1 2/m 1'
_symmetry_Int_Tables_number 12
_symmetry_space_group_name_Hall '-C 2y'
loop_
_atom_site_label
_atom_site_type_symbol
_atom_site_fract_x
_atom_site_fract_y
_atom_site_fract_z
Ca1 Ca 0.000 0.000 0.000
Ca2 Ca 0.250 0.250 0.000
Be1 Be 0.000 0.000 0.500
Cr1 Cr 0.000 0.500 0.500
Cr2 Cr 0.250 0.250 0.500
O1 O 0.018 0.227 0.312
O2 O 0.243 0.000 0.715
O3 O 0.244 0.000 0.273
```